1.
# DyAg2S3 (PBE, relaxed)
data_DyAg2S3
_symmetry_space_group_name_H-M 'C m c m'
_symmetry_Int_Tables_number 63
_symmetry_space_group_name_Hall '-C 2c 2'
_cell_length_a 8.004
_cell_length_b 12.407
_cell_length_c 5.210
_cell_angle_alpha 90.00
_cell_angle_beta 90.00
_cell_angle_gamma 90.00
loop_
_atom_site_label
_atom_site_fract_x
_atom_site_fract_y
_atom_site_fract_z
_atom_site_occupancy
Dy1 0.000 0.240 0.250 1
Ag1 0.219 0.500 0.000 1
S1 0.000 0.368 0.750 1
S2 0.196 0.164 0.750 1
# - uncorrected formation energy (eV/f.u.) = -3.24
# - total magnetic moment (Bohr magnetons per cell) = 0.000

2.
# Nd3US7 (PBE, relaxed)
data_Nd3US7
_symmetry_space_group_name_H-M 'C 2 2 21'
_symmetry_Int_Tables_number 20
_cell_length_a 9.179
_cell_length_b 13.244
_cell_length_c 9.559
_cell_angle_alpha 90.00
_cell_angle_beta 90.00
_cell_angle_gamma 90.00
loop_
_symmetry_equiv_pos_as_xyz
'x,y,z'
'-x,-y,z+1/2'
'x,-y,-z'
'-x,y,-z+1/2'
'x+1/2,y+1/2,z'
'-x+1/2,-y+1/2,z+1/2'
'x+1/2,-y+1/2,-z'
'-x+1/2,y+1/2,-z+1/2'
loop_
_atom_site_label
_atom_site_fract_x
_atom_site_fract_y
_atom_site_fract_z
_atom_site_occupancy
Nd1 0.002 0.000 0.000 1
Nd2 0.227 0.276 0.751 1
U1 0.000 0.500 0.000 1
S1 0.000 0.128 0.250 1
S2 0.000 0.135 0.750 1
S3 0.000 0.421 0.750 1
S4 0.212 0.373 0.031 1
S5 0.213 0.373 0.470 1
# - uncorrected formation energy (eV/f.u.) = -19.43
# - total magnetic moment (Bohr magnetons per cell) = 4.005

Results for ρ: 6.1; 5.1 (in g cm⁻³, following the order of the records).